Below is a geometry-optimized BiWCO2 structure, with properties calculated at the GGA+U level.

space group = P4/mmm
VASP energy = -24.1 eV per cell

Cell lengths 4.2125, 4.1519, 4.2125 Å; angles 90.00, 90.00, 90.00 degrees
Last column: nearest neighbours and their distance in Å.
Element x y z (fractional)
O 0.5000 0.0000 0.0000  2 C 2.11
C 0.0000 0.0000 0.0000  2 W 2.08, 4 O 2.11
W 0.0000 0.5000 0.0000  2 C 2.08
Bi 0.5000 0.5000 0.5000  8 O 2.96, 4 W 2.98
O 0.0000 0.0000 0.5000  2 C 2.11